# 1
DFT (PBE) results for YGe4Pt2 after structural relaxation.

Calculated values
DFT formation energy: -605 meV/atom

a b c (Å): 4.276 7.067 17.240
angles (deg): 90.00 90.00 90.00
Fractional coordinates of all 28 atoms:
Y 0.750 0.985 0.641
Y 0.250 0.015 0.359
Y 0.250 0.485 0.859
Y 0.750 0.515 0.141
Ge 0.250 0.249 0.696
Ge 0.750 0.751 0.304
Ge 0.750 0.749 0.804
Ge 0.250 0.251 0.196
Ge 0.250 0.665 0.677
Ge 0.750 0.335 0.323
Ge 0.750 0.165 0.823
Ge 0.250 0.835 0.177
Ge 0.250 0.137 0.539
Ge 0.750 0.863 0.461
Ge 0.750 0.637 0.961
Ge 0.250 0.363 0.039
Ge 0.250 0.474 0.435
Ge 0.750 0.526 0.565
Ge 0.750 0.974 0.065
Ge 0.250 0.026 0.935
Pt 0.250 0.766 0.531
Pt 0.750 0.234 0.469
Pt 0.750 0.266 0.969
Pt 0.250 0.734 0.031
Pt 0.250 0.944 0.785
Pt 0.750 0.056 0.215
Pt 0.750 0.444 0.715
Pt 0.250 0.556 0.285

=====

# 2
DFT (PBE) results for Be5As3 after structural relaxation.

Calculated values
DFT formation energy: 317 meV/atom
ΔE to the lowest computed polymorph: 132 meV per atom

a b c (Å): 7.622 7.622 4.118
angles (deg): 90.00 90.00 120.00
Fractional coordinates of all 16 atoms:
Be 0.333 0.667 0.000
Be 0.667 0.333 0.500
Be 0.667 0.333 0.000
Be 0.333 0.667 0.500
Be 0.169 0.000 0.250
Be 0.831 0.000 0.750
Be 0.000 0.169 0.250
Be 0.831 0.831 0.250
Be 0.169 0.169 0.750
Be 0.000 0.831 0.750
As 0.636 0.000 0.250
As 0.364 0.000 0.750
As 0.000 0.636 0.250
As 0.364 0.364 0.250
As 0.636 0.636 0.750
As 0.000 0.364 0.750

=====

no.,VASP energy (eV per atom)
1,-5.89
2,-3.76